Entry 1:
# Na2LiNbV | the Alexandria database | GGA-PBE | relaxed
data_Na2LiNbV
_space_group_name_H-M_alt 'P 1'
_space_group_IT_number 1
_space_group_name_Hall 'P 1'
_cell_length_a 5.2044
_cell_length_b 4.7015
_cell_length_c 5.2044
_cell_angle_alpha 90.00
_cell_angle_beta 90.00
_cell_angle_gamma 90.00
loop_
_atom_site_label
_atom_site_fract_x
_atom_site_fract_y
_atom_site_fract_z
_atom_site_occupancy
Na1 0.0000 0.0000 0.5000 1
Na2 0.5000 0.0000 0.0000 1
Nb1 0.5000 0.5000 0.5000 1
Li1 0.0000 0.5000 0.0000 1
V1 0.0000 0.0000 0.0000 1
# * DFT formation energy: 177.8 kJ/mol of atoms
# * symmetry: P4/mmm

Entry 2:
# FeCuSiRh | the Alexandria database | GGA-PBE | relaxed
data_FeCuSiRh
_space_group_name_H-M_alt 'P 1'
_space_group_IT_number 1
_space_group_name_Hall 'P 1'
_cell_length_a 4.0934
_cell_length_b 4.0934
_cell_length_c 4.0934
_cell_angle_alpha 60.00
_cell_angle_beta 60.00
_cell_angle_gamma 60.00
loop_
_atom_site_label
_atom_site_fract_x
_atom_site_fract_y
_atom_site_fract_z
_atom_site_occupancy
Si1 0.7500 0.7500 0.7500 1
Rh1 0.5000 0.5000 0.5000 1
Fe1 0.0000 0.0000 0.0000 1
Cu1 0.2500 0.2500 0.2500 1
# * symmetry: F-43m

Entry 3:
# HgBiBr | the Alexandria database | GGA-PBE | relaxed
data_HgBiBr
_space_group_name_H-M_alt 'P 1'
_space_group_IT_number 1
_space_group_name_Hall 'P 1'
_cell_length_a 3.7022
_cell_length_b 3.7022
_cell_length_c 7.2975
_cell_angle_alpha 90.00
_cell_angle_beta 90.00
_cell_angle_gamma 120.00
loop_
_atom_site_label
_atom_site_fract_x
_atom_site_fract_y
_atom_site_fract_z
_atom_site_occupancy
Bi1 0.3333 0.6667 0.6867 1
Br1 0.6667 0.3333 0.3002 1
Hg1 0.0000 0.0000 0.0132 1
# * symmetry: P3m1
# * energy relative to the lowest polymorph listed for this composition: 0.66 eV per formula unit

Entry 4:
# KLi2Rh | the Alexandria database | GGA-PBE | relaxed
data_KLi2Rh
_space_group_name_H-M_alt 'P 1'
_space_group_IT_number 1
_space_group_name_Hall 'P 1'
_cell_length_a 2.8357
_cell_length_b 4.0858
_cell_length_c 7.2851
_cell_angle_alpha 90.00
_cell_angle_beta 90.00
_cell_angle_gamma 90.00
loop_
_atom_site_label
_atom_site_fract_x
_atom_site_fract_y
_atom_site_fract_z
_atom_site_occupancy
K1 0.5000 0.5000 0.7500 1
Li1 0.0000 0.0000 0.0933 1
Li2 0.0000 0.0000 0.4067 1
Rh1 0.5000 0.5000 0.2500 1
# * DFT formation energy: 20.0 kJ/mol of atoms
# * symmetry: Pmmm

Entry 5:
# CdTc3N | the Alexandria database | GGA-PBE | relaxed
data_CdTc3N
_space_group_name_H-M_alt 'P 1'
_space_group_IT_number 1
_space_group_name_Hall 'P 1'
_cell_length_a 5.1550
_cell_length_b 5.1550
_cell_length_c 5.1550
_cell_angle_alpha 90.00
_cell_angle_beta 90.00
_cell_angle_gamma 90.00
loop_
_atom_site_label
_atom_site_fract_x
_atom_site_fract_y
_atom_site_fract_z
_atom_site_occupancy
N1 0.5000 0.5000 0.5000 1
Tc1 0.0000 0.5000 0.0000 1
Tc2 0.0000 0.0000 0.5000 1
Tc3 0.5000 0.0000 0.0000 1
Cd1 0.0000 0.0000 0.0000 1
# * symmetry: Pm-3m
# * energy relative to the lowest polymorph listed for this composition: 16.85 eV per formula unit

Entry 6:
# Hf2MnPdN | the Alexandria database | GGA-PBE | relaxed
data_Hf2MnPdN
_space_group_name_H-M_alt 'P 1'
_space_group_IT_number 1
_space_group_name_Hall 'P 1'
_cell_length_a 4.4903
_cell_length_b 4.4903
_cell_length_c 3.6615
_cell_angle_alpha 90.00
_cell_angle_beta 90.00
_cell_angle_gamma 90.00
loop_
_atom_site_label
_atom_site_fract_x
_atom_site_fract_y
_atom_site_fract_z
_atom_site_occupancy
Mn1 0.0000 0.0000 0.5000 1
Hf1 0.0000 0.5000 0.0000 1
Hf2 0.5000 0.0000 0.0000 1
Pd1 0.5000 0.5000 0.5000 1
N1 0.0000 0.0000 0.0000 1
# * symmetry: P4/mmm

Entry 7:
# NaPbF5 | the Alexandria database | GGA-PBE | relaxed
data_NaPbF5
_space_group_name_H-M_alt 'P 1'
_space_group_IT_number 1
_space_group_name_Hall 'P 1'
_cell_length_a 5.8958
_cell_length_b 5.8958
_cell_length_c 8.3457
_cell_angle_alpha 98.07
_cell_angle_beta 109.69
_cell_angle_gamma 108.92
loop_
_atom_site_label
_atom_site_fract_x
_atom_site_fract_y
_atom_site_fract_z
_atom_site_occupancy
Na1 0.7255 0.4755 0.2500 1
Na2 0.2745 0.5245 0.7500 1
Pb1 0.0000 0.0000 0.0000 1
Pb2 0.5000 0.0000 0.5000 1
F1 0.8547 0.1994 0.1301 1
F2 0.1441 0.7313 0.4647 1
F3 0.4307 0.2754 0.6301 1
F4 0.3482 0.0982 0.2500 1
F5 0.7667 0.6794 0.0353 1
F6 0.2333 0.3206 0.9647 1
F7 0.6518 0.9018 0.7500 1
F8 0.5693 0.7246 0.3699 1
F9 0.8559 0.2687 0.5353 1
F10 0.1453 0.8006 0.8699 1
# * symmetry: C2/c

Entry 8:
# AcLaGa3 | the Alexandria database | GGA-PBE | relaxed
data_AcLaGa3
_space_group_name_H-M_alt 'P 1'
_space_group_IT_number 1
_space_group_name_Hall 'P 1'
_cell_length_a 4.6261
_cell_length_b 4.3538
_cell_length_c 13.6398
_cell_angle_alpha 90.00
_cell_angle_beta 99.76
_cell_angle_gamma 90.00
loop_
_atom_site_label
_atom_site_fract_x
_atom_site_fract_y
_atom_site_fract_z
_atom_site_occupancy
Ac1 0.9269 0.7500 0.8538 1
Ac2 0.0731 0.2500 0.1462 1
La1 0.2028 0.7500 0.4055 1
La2 0.7972 0.2500 0.5945 1
Ga1 0.6194 0.7500 0.2388 1
Ga2 0.3806 0.2500 0.7612 1
Ga3 0.5238 0.7500 0.0476 1
Ga4 0.4762 0.2500 0.9524 1
Ga5 0.6734 0.2500 0.3469 1
Ga6 0.3266 0.7500 0.6531 1
# * DFT formation energy: -60.3 kJ/mol of atoms
# * symmetry: Cmcm

Entry 9:
# FeCoH18C6N12 | the Alexandria database | GGA-PBE | relaxed
data_FeCoH18C6N12
_space_group_name_H-M_alt 'P 1'
_space_group_IT_number 1
_space_group_name_Hall 'P 1'
_cell_length_a 7.4138
_cell_length_b 7.4138
_cell_length_c 7.4138
_cell_angle_alpha 97.31
_cell_angle_beta 97.31
_cell_angle_gamma 97.31
loop_
_atom_site_label
_atom_site_fract_x
_atom_site_fract_y
_atom_site_fract_z
_atom_site_occupancy
Fe1 0.0000 0.0000 0.0000 1
Co1 0.5000 0.5000 0.5000 1
H1 0.8024 0.5277 0.3635 1
H2 0.3635 0.8024 0.5277 1
H3 0.5277 0.3635 0.8024 1
H4 0.1976 0.4723 0.6365 1
H5 0.6365 0.1976 0.4723 1
H6 0.4723 0.6365 0.1976 1
H7 0.8381 0.6478 0.5710 1
H8 0.5710 0.8381 0.6478 1
H9 0.6478 0.5710 0.8381 1
H10 0.1619 0.3522 0.4290 1
H11 0.4290 0.1619 0.3522 1
H12 0.3522 0.4290 0.1619 1
H13 0.7358 0.7319 0.3959 1
H14 0.3959 0.7358 0.7319 1
H15 0.7319 0.3959 0.7358 1
H16 0.2642 0.2681 0.6041 1
H17 0.6041 0.2642 0.2681 1
H18 0.2681 0.6041 0.2642 1
C1 0.8681 0.0525 0.7797 1
C2 0.7797 0.8681 0.0525 1
C3 0.0525 0.7797 0.8681 1
C4 0.1319 0.9475 0.2203 1
C5 0.2203 0.1319 0.9475 1
C6 0.9475 0.2203 0.1319 1
N1 0.7822 0.0810 0.6440 1
N2 0.6440 0.7822 0.0810 1
N3 0.0810 0.6440 0.7822 1
N4 0.2178 0.9190 0.3560 1
N5 0.3560 0.2178 0.9190 1
N6 0.9190 0.3560 0.2178 1
N7 0.7433 0.6138 0.4534 1
N8 0.4534 0.7433 0.6138 1
N9 0.6138 0.4534 0.7433 1
N10 0.2567 0.3862 0.5466 1
N11 0.5466 0.2567 0.3862 1
N12 0.3862 0.5466 0.2567 1
# * symmetry: R-3

Entry 10:
# Pm3PdBr3 | the Alexandria database | GGA-PBE | relaxed
data_Pm3PdBr3
_space_group_name_H-M_alt 'P 1'
_space_group_IT_number 1
_space_group_name_Hall 'P 1'
_cell_length_a 10.4313
_cell_length_b 10.4313
_cell_length_c 10.4313
_cell_angle_alpha 109.47
_cell_angle_beta 109.47
_cell_angle_gamma 109.47
loop_
_atom_site_label
_atom_site_fract_x
_atom_site_fract_y
_atom_site_fract_z
_atom_site_occupancy
Pm1 0.9730 0.4865 0.2365 1
Pm2 0.5135 0.0270 0.2635 1
Pm3 0.2500 0.0135 0.4865 1
Pm4 0.9865 0.7500 0.0135 1
Pm5 0.9865 0.2365 0.4730 1
Pm6 0.7635 0.0135 0.0270 1
Pm7 0.7365 0.4730 0.4865 1
Pm8 0.7635 0.7500 0.2365 1
Pm9 0.5270 0.2635 0.0135 1
Pm10 0.2500 0.2365 0.2635 1
Pm11 0.7365 0.2635 0.7500 1
Pm12 0.5135 0.4865 0.7500 1
Pd1 0.7500 0.5000 0.0000 1
Pd2 0.5000 0.2500 0.5000 1
Pd3 0.7500 0.2500 0.2500 1
Pd4 0.0000 0.0000 0.2500 1
Br1 0.2446 0.9946 0.9891 1
Br2 0.7500 0.7554 0.7446 1
Br3 0.4891 0.7446 0.9946 1
Br4 0.0054 0.2500 0.9946 1
Br5 0.2554 0.7446 0.2500 1
Br6 0.4946 0.5054 0.2500 1
Br7 0.2446 0.2500 0.7554 1
Br8 0.2554 0.5109 0.5054 1
Br9 0.7500 0.9946 0.5054 1
Br10 0.0109 0.5054 0.7554 1
Br11 0.0054 0.7554 0.5109 1
Br12 0.4946 0.9891 0.7446 1
# * symmetry: I4_132

Number 1: uncorrected energy -2.905 eV/atom. Number 2: uncorrected energy -6.603 eV/atom. Number 3: uncorrected energy -1.996 eV/atom. Number 4: uncorrected energy -2.862 eV/atom. Number 5: uncorrected energy -4.521 eV/atom. Number 6: uncorrected energy -9.382 eV/atom. Number 7: uncorrected energy -4.261 eV/atom. Number 8: uncorrected energy -4.249 eV/atom. Number 9: uncorrected energy -6.221 eV/atom. Number 10: uncorrected energy -4.815 eV/atom.